The following is a DFT calculation (GGA-PBE) of an optimized crystal structure of RbY2MnCo.

Cell: 5.428 4.420 5.428 Å, 90.00 90.00 90.00°
Last column: magnetic moment on the atom in μB.
Sites, in units of the cell vectors:
Co 0.000 0.500 0.000  0.78
Mn 0.000 0.000 0.000  1.24
Rb 0.500 0.500 0.500  0.01
Y 0.000 0.000 0.500  -0.09
Y 0.500 0.000 0.000  0.01

Output
DOS at the Fermi energy = 1.28 states/eV per atom
space-group type = P4/mmm, No. 123
formation enthalpy at 0 K = 0.7061 eV/atom

=====

The following is a DFT calculation (GGA-PBE) of an optimized crystal structure of YBe3Zn.

Cell: 5.142 5.142 5.142 Å, 90.00 90.00 90.00°
Last column: magnetic moment on the atom in μB.
Sites, in units of the cell vectors:
Be 0.500 0.000 0.000  0.10
Be 0.000 0.000 0.500  0.02
Be 0.000 0.500 0.000  0.05
Zn 0.500 0.500 0.500  0.00
Y 0.000 0.000 0.000  0.29

Output
DOS at the Fermi energy = 1.38 states/eV per atom
space-group type = Pm-3m, No. 221
formation enthalpy at 0 K = 1.9459 eV/atom
distance to the lowest polymorph of the same formula = 1683 meV/atom